Entry 1:
PBE-GGA InRe2Si, optimized geometry; formation energy from raw total energies = 0.214 eV per atom; excess energy over the best structure of this formula in the dataset = 13 meV per atom
1.0
3.030 0.000 0.000
0.000 3.030 0.000
0.000 0.000 6.850
In Re Si
1 2 1
Cartesian
0.000 0.000 0.000 In
1.515 1.515 2.074 Re
1.515 1.515 4.776 Re
0.000 0.000 3.425 Si

Entry 2:
PBE-GGA InRe2Si, optimized geometry; formation energy from raw total energies = 0.648 eV per atom; excess energy over the best structure of this formula in the dataset = 448 meV per atom
1.0
3.048 0.000 0.000
0.000 4.341 0.000
0.000 0.000 4.873
In Re Si
1 2 1
Cartesian
0.000 0.000 0.000 In
0.000 2.171 2.437 Re
1.524 2.171 0.000 Re
1.524 0.000 2.437 Si